Record 1
DFT (PBE) results for PmNd4Zn after structural relaxation.

Cell and atoms, written as extended XYZ:
```
6
Lattice="3.6823 0.0000 0.0000 0.0000 3.6823 0.0000 0.0000 0.0000 14.0606" Properties=species:S:1:pos:R:3 pbc="T T T"
Zn 1.8411 1.8411 7.0303
Nd 1.8411 1.8411 11.4876
Nd 0.0000 0.0000 5.2026
Nd 0.0000 0.0000 8.8580
Nd 1.8411 1.8411 2.5731
Pm 0.0000 0.0000 0.0000
```

Space group: P4/mmm
Energy relative to the elements (meV/atom): -95
Offset from the most stable computed form (kJ/mol of atoms): 0.00

***

Record 2
DFT (PBE) results for Na3Nd3RhO8 after structural relaxation.

Cell and atoms, written as extended XYZ:
```
15
Lattice="6.9548 0.0005 -0.0001 -3.4770 6.0227 -0.0205 -0.0004 -3.9967 5.5797" Properties=species:S:1:pos:R:3 pbc="T T T"
Nd 1.7387 1.0132 2.7795
O -1.9363 3.1387 3.8989
O 0.0002 2.0127 1.5589
Nd -1.7387 1.0130 2.7796
Nd 3.4772 -1.9981 2.7898
O 1.5409 -1.1125 1.6602
Na 1.7389 3.0116 -0.0103
Na -1.7385 3.0114 -0.0103
O 3.4773 0.0137 4.0002
O -0.0001 -0.2151 3.9103
Rh -0.0002 -1.9984 2.7898
O 1.9365 3.1390 3.8988
O 5.4137 -1.1123 1.6602
Na 0.0000 0.0000 0.0000
O 3.4775 2.2416 1.6487
```

Space group: R-3m
Energy relative to the elements, uncorrected (meV per atom): -2198

***

Record 3
DFT (PBE) results for CdCu2Re after structural relaxation.

Cell and atoms, written as extended XYZ:
```
4
Lattice="4.8607 -0.0093 0.0000 1.8307 4.5028 0.0000 -3.3457 -2.2467 2.7175" Properties=species:S:1:pos:R:3 pbc="T T T"
Cu 0.9154 2.2514 1.3588
Cd 2.4304 -0.0047 1.3588
Re 3.3457 2.2467 0.0000
Cu 0.0000 0.0000 0.0000
```

Space group: I-4m2
Energy relative to the elements (meV/atom): 670

***

Record 4
DFT (PBE) results for Nb2ZnNiC after structural relaxation.

Cell and atoms, written as extended XYZ:
```
5
Lattice="-4.3177 2.1361 -0.1924 -1.4979 -2.9463 0.9037 0.3979 1.2228 4.6464" Properties=species:S:1:pos:R:3 pbc="T T T"
Nb 0.1990 0.6114 2.3232
C -0.7489 -1.4731 0.4518
Zn -2.7088 0.2063 2.6788
Nb -2.1588 1.0681 -0.0962
Ni 0.0000 0.0000 0.0000
```

Space group: P4/mmm
Energy relative to the elements (meV/atom): 977

***

Record 5
DFT (PBE) results for LaThAl after structural relaxation.

Cell and atoms, written as extended XYZ:
```
3
Lattice="-1.9341 1.5228 -2.0433 -4.0576 -0.4070 3.5374 3.2619 4.2999 0.1170" Properties=species:S:1:pos:R:3 pbc="T T T"
Al -2.9060 2.1763 1.0363
La -0.3226 0.2540 -0.3409
Th 0.4989 2.9855 0.9157
```

Space group: P-6m2
Energy relative to the elements (meV/atom): 40
Offset from the most stable computed form (kJ/mol of atoms): 16.62

***

Record 6
DFT (PBE) results for CuTeRh4 after structural relaxation.

Cell and atoms, written as extended XYZ:
```
6
Lattice="0.0000 3.6730 3.6730 3.6730 0.0000 3.6730 3.6730 3.6730 0.0000" Properties=species:S:1:pos:R:3 pbc="T T T"
Cu 0.0000 0.0000 0.0000
Rh 2.7518 2.7518 2.7518
Rh 4.5941 4.5941 2.7518
Te 5.5095 5.5095 5.5095
Rh 4.5941 2.7518 4.5941
Rh 2.7518 4.5941 4.5941
```

Space group: F-43m
Energy relative to the elements, uncorrected (meV per atom): 338